# PrNdZnSi

An optimized crystal structure of PrNdZnSi (PBE, the Alexandria database).

```
PrNdZnSi
1.0
4.150 0.000 0.000
0.000 4.350 0.000
0.000 0.000 11.278
Pr Nd Zn Si
2 2 2 2
Direct
0.000 0.000 0.000
0.000 0.500 0.500
0.500 0.000 0.713
0.500 0.500 0.213
0.500 0.000 0.419
0.500 0.500 0.919
0.000 0.000 0.286
0.000 0.500 0.786
```

Values from the calculation:
E_tot: -36.6 eV for the cell shown
formation energy without anion corrections: -2.04 eV/f.u.
energy relative to the lowest polymorph listed for this composition: 0 meV per atom